[1]
AlSnSN2 after structural relaxation, computed with PBE.

Cell: 3.794 3.794 5.209 Å, 90.00 90.00 90.00°
Space group P4/mmm (No. 123)
Symmetry-distinct sites (fractional):
Al 0.000 0.000 0.000 x1
Sn 0.500 0.500 0.500 x1
S 0.000 0.000 0.500 x1
N 0.000 0.500 0.000 x2

DOS at the Fermi energy ... 2.904 states/eV per cell
Energy relative to the elements, uncorrected ... 0.49 eV/atom
Final energy ... -5.21 eV/atom
Energy above the most stable polymorph in this dataset ... 0 meV per atom
Density ... 4.56 Mg/m³

=====

[2]
TiNi4Hg2 after structural relaxation, computed with PBE.

Cell: 4.373 4.373 13.111 Å, 90.00 90.00 90.00°
Space group I4/mmm (No. 139)
Symmetry-distinct sites (fractional):
Ti 0.000 0.000 0.000 x2
Ni 0.000 0.000 0.169 x4
Ni 0.000 0.500 0.000 x4
Hg 0.000 0.000 0.368 x4

DOS at the Fermi energy ... 8.679 states/eV per cell
Final energy ... -3.82 eV/atom
Density ... 9.06 Mg/m³
Formation enthalpy at 0 K ... 4.87 eV per formula unit

=====

Number 1: volume 15.00 A^3/atom. Number 2: volume 17.91 A^3/atom.